(1)
Below is an optimized crystal structure of Sc2NiHRu, with properties calculated at the PBE level.

Cell and atoms, written as CIF:
```
data_Sc2NiHRu
_cell_length_a 4.4708
_cell_length_b 4.4708
_cell_length_c 3.3562
_cell_angle_alpha 90.00
_cell_angle_beta 90.00
_cell_angle_gamma 90.00
_space_group_name_H-M_alt 'P 4/m m m'
_space_group_IT_number 123
_space_group_name_Hall '-P 4 2'
loop_
_atom_site_label
_atom_site_type_symbol
_atom_site_fract_x
_atom_site_fract_y
_atom_site_fract_z
Sc1 Sc 0.0000 0.5000 0.0000
Ni1 Ni 0.0000 0.0000 0.5000
H1 H 0.0000 0.0000 0.0000
Ru1 Ru 0.5000 0.5000 0.5000
```

Crystal system: tetragonal
Relative energy among the computed polymorphs in meV per atom: 0.0
DOS(E_F) in states/eV/atom: 0.460
Calculated total energy in eV/atom: -6.767
Size of the total moment in μB per atom: 0.0000

(2)
Below is an optimized crystal structure of LiScSe2Br, with properties calculated at the PBE level.

Cell and atoms, written as CIF:
```
data_LiScSe2Br
_cell_length_a 4.7180
_cell_length_b 4.7180
_cell_length_c 4.8583
_cell_angle_alpha 90.00
_cell_angle_beta 90.00
_cell_angle_gamma 90.00
_space_group_name_H-M_alt 'P 4/m m m'
_space_group_IT_number 123
_space_group_name_Hall '-P 4 2'
loop_
_atom_site_label
_atom_site_type_symbol
_atom_site_fract_x
_atom_site_fract_y
_atom_site_fract_z
Li1 Li 0.0000 0.0000 0.0000
Sc1 Sc 0.5000 0.5000 0.5000
Se1 Se 0.0000 0.5000 0.0000
Br1 Br 0.0000 0.0000 0.5000
```

Crystal system: tetragonal
Relative energy among the computed polymorphs in meV per atom: 501.6
DOS(E_F) in states/eV/atom: 0.579
Calculated total energy in eV/atom: -3.878
Size of the total moment in μB per atom: 0.0000

(3)
Below is an optimized crystal structure of Pr7Dy2Tm3, with properties calculated at the PBE level.

Cell and atoms, written as CIF:
```
data_Pr7Dy2Tm3
_cell_length_a 5.8952
_cell_length_b 3.6383
_cell_length_c 19.1529
_cell_angle_alpha 90.00
_cell_angle_beta 94.09
_cell_angle_gamma 90.00
_space_group_name_H-M_alt 'P 1 2/m 1'
_space_group_IT_number 10
loop_
_space_group_symop_operation_xyz
'x,y,z'
'-x,-y,-z'
'-x,y,-z'
'x,-y,z'
loop_
_atom_site_label
_atom_site_type_symbol
_atom_site_fract_x
_atom_site_fract_y
_atom_site_fract_z
Pr1 Pr 0.0000 0.0000 0.0000
Pr2 Pr 0.1718 0.5000 0.1850
Pr3 Pr 0.2587 0.5000 0.5343
Pr4 Pr 0.3321 0.0000 0.8545
Dy1 Dy 0.2969 0.5000 0.7010
Tm1 Tm 0.2152 0.0000 0.3678
Tm2 Tm 0.5000 0.5000 0.0000
```

Crystal system: monoclinic
Relative energy among the computed polymorphs in meV per atom: 24.3
DOS(E_F) in states/eV/atom: 1.422
Calculated total energy in eV/atom: -4.578
Size of the total moment in μB per atom: 0.0000
Energy of formation in eV per formula unit: 1.1

(4)
Below is an optimized crystal structure of ScTaTeN2, with properties calculated at the PBE level.

Cell and atoms, written as CIF:
```
data_ScTaTeN2
_cell_length_a 4.0715
_cell_length_b 4.0715
_cell_length_c 5.6173
_cell_angle_alpha 90.00
_cell_angle_beta 90.00
_cell_angle_gamma 90.00
_space_group_name_H-M_alt 'P 4/m m m'
_space_group_IT_number 123
_space_group_name_Hall '-P 4 2'
loop_
_atom_site_label
_atom_site_type_symbol
_atom_site_fract_x
_atom_site_fract_y
_atom_site_fract_z
Sc1 Sc 0.0000 0.0000 0.0000
Ta1 Ta 0.5000 0.5000 0.5000
Te1 Te 0.5000 0.5000 0.0000
N1 N 0.0000 0.5000 0.5000
```

Crystal system: tetragonal
Relative energy among the computed polymorphs in meV per atom: 0.0
DOS(E_F) in states/eV/atom: 0.525
Calculated total energy in eV/atom: -7.756
Size of the total moment in μB per atom: 0.0000

(5)
Below is an optimized crystal structure of Li2Y2Al, with properties calculated at the PBE level.

Cell and atoms, written as CIF:
```
data_Li2Y2Al
_cell_length_a 4.9568
_cell_length_b 5.0079
_cell_length_c 9.5931
_cell_angle_alpha 90.00
_cell_angle_beta 92.44
_cell_angle_gamma 90.00
_space_group_name_H-M_alt 'C 1 2/m 1'
_space_group_IT_number 12
loop_
_space_group_symop_operation_xyz
'x,y,z'
'-x,-y,-z'
'-x,y,-z'
'x,-y,z'
'x+1/2,y+1/2,z'
'-x+1/2,-y+1/2,-z'
'-x+1/2,y+1/2,-z'
'x+1/2,-y+1/2,z'
loop_
_atom_site_label
_atom_site_type_symbol
_atom_site_fract_x
_atom_site_fract_y
_atom_site_fract_z
Li1 Li 0.0000 0.2302 0.0000
Y1 Y 0.0169 0.5000 0.6976
Al1 Al 0.0000 0.0000 0.5000
```

Crystal system: monoclinic
Relative energy among the computed polymorphs in meV per atom: 15.2
DOS(E_F) in states/eV/atom: 0.928
Calculated total energy in eV/atom: -4.119
Size of the total moment in μB per atom: 0.0000
Energy of formation in eV per formula unit: -0.1

(6)
Below is an optimized crystal structure of PmNpSe3, with properties calculated at the PBE level.

Cell and atoms, written as CIF:
```
data_PmNpSe3
_cell_length_a 4.2267
_cell_length_b 4.2267
_cell_length_c 20.0272
_cell_angle_alpha 90.00
_cell_angle_beta 90.00
_cell_angle_gamma 120.00
_space_group_name_H-M_alt 'P 63 m c'
_space_group_IT_number 186
_space_group_name_Hall 'P 6c -2c'
loop_
_atom_site_label
_atom_site_type_symbol
_atom_site_fract_x
_atom_site_fract_y
_atom_site_fract_z
Pm1 Pm 0.3333 0.6667 0.0000
Np1 Np 0.0000 0.0000 0.1837
Se1 Se 0.0000 0.0000 0.4286
Se2 Se 0.3333 0.6667 0.2534
Se3 Se 0.3333 0.6667 0.5962
```

Crystal system: hexagonal
Relative energy among the computed polymorphs in meV per atom: 95.5
DOS(E_F) in states/eV/atom: 2.454
Calculated total energy in eV/atom: -7.060
Size of the total moment in μB per atom: 0.8000

(7)
Below is an optimized crystal structure of Pm2SmEr3, with properties calculated at the PBE level.

Cell and atoms, written as CIF:
```
data_Pm2SmEr3
_cell_length_a 20.1422
_cell_length_b 3.4868
_cell_length_c 11.8657
_cell_angle_alpha 90.00
_cell_angle_beta 107.30
_cell_angle_gamma 90.00
_space_group_name_H-M_alt 'C 1 2/m 1'
_space_group_IT_number 12
loop_
_space_group_symop_operation_xyz
'x,y,z'
'-x,-y,-z'
'-x,y,-z'
'x,-y,z'
'x+1/2,y+1/2,z'
'-x+1/2,-y+1/2,-z'
'-x+1/2,y+1/2,-z'
'x+1/2,-y+1/2,z'
loop_
_atom_site_label
_atom_site_type_symbol
_atom_site_fract_x
_atom_site_fract_y
_atom_site_fract_z
Pm1 Pm 0.1057 0.0000 0.3767
Pm2 Pm 0.1863 0.5000 0.8878
Sm1 Sm 0.0732 0.0000 0.6429
Er1 Er 0.0134 0.5000 0.8656
Er2 Er 0.1322 0.0000 0.1011
Er3 Er 0.2236 0.5000 0.6133
```

Crystal system: monoclinic
Relative energy among the computed polymorphs in meV per atom: 0.0
DOS(E_F) in states/eV/atom: 1.894
Calculated total energy in eV/atom: -4.505
Size of the total moment in μB per atom: 0.0000
Energy of formation in eV per formula unit: 0.9

(8)
Below is an optimized crystal structure of Rb4PmTh3Te8, with properties calculated at the PBE level.

Cell and atoms, written as CIF:
```
data_Rb4PmTh3Te8
_cell_length_a 9.0532
_cell_length_b 9.0532
_cell_length_c 26.2682
_cell_angle_alpha 90.00
_cell_angle_beta 90.00
_cell_angle_gamma 120.00
_space_group_name_H-M_alt 'R -3 m'
_space_group_IT_number 166
_space_group_name_Hall '-R 3 2"'
loop_
_atom_site_label
_atom_site_type_symbol
_atom_site_fract_x
_atom_site_fract_y
_atom_site_fract_z
Rb1 Rb 0.0000 0.0000 0.0000
Rb2 Rb 0.0000 0.5000 0.0000
Pm1 Pm 0.0000 0.0000 0.5000
Th1 Th 0.0000 0.5000 0.5000
Te1 Te 0.0000 0.0000 0.2369
Te2 Te 0.0010 0.5005 0.7637
```

Crystal system: trigonal
DOS(E_F) in states/eV/atom: 0.665
Calculated total energy in eV/atom: -4.722
Size of the total moment in μB per atom: 0.0000

| no. | calculated density (kg/m3) |
| --- | --- |
| 1 | 6205 |
| 2 | 4449 |
| 3 | 7368 |
| 4 | 6803 |
| 5 | 3052 |
| 6 | 6633 |
| 7 | 7865 |
| 8 | 5888 |